Record 1
# PBE Ni2HRh, relaxed
data_Ni2HRh
_chemical_formula_sum 'Ni8 H4 Rh4'
_symmetry_space_group_name_H-M 'F m -3 m'
_symmetry_Int_Tables_number 225
_symmetry_space_group_name_Hall '-F 4 2 3'
_cell_length_a 5.629
_cell_length_b 5.629
_cell_length_c 5.629
_cell_angle_alpha 90.00
_cell_angle_beta 90.00
_cell_angle_gamma 90.00
loop_
_atom_site_label
_atom_site_type_symbol
_atom_site_fract_x
_atom_site_fract_y
_atom_site_fract_z
Ni1 Ni 0.250 0.250 0.250
H1 H 0.000 0.000 0.000
Rh1 Rh 0.000 0.000 0.500
# Polymorph energy (0 for the lowest one), meV per atom: 657
# Energy, eV for the cell shown: -78.3



Record 2
# PBE Ni2H4Rh, relaxed
data_Ni2H4Rh
_chemical_formula_sum 'Ni8 H16 Rh4'
_symmetry_space_group_name_H-M 'C 1 2/c 1'
_symmetry_Int_Tables_number 15
_cell_length_a 7.256
_cell_length_b 7.324
_cell_length_c 5.162
_cell_angle_alpha 90.00
_cell_angle_beta 134.52
_cell_angle_gamma 90.00
loop_
_symmetry_equiv_pos_as_xyz
'x,y,z'
'-x,-y,-z'
'-x,y,-z+1/2'
'x,-y,z+1/2'
'x+1/2,y+1/2,z'
'-x+1/2,-y+1/2,-z'
'-x+1/2,y+1/2,-z+1/2'
'x+1/2,-y+1/2,z+1/2'
loop_
_atom_site_label
_atom_site_type_symbol
_atom_site_fract_x
_atom_site_fract_y
_atom_site_fract_z
Ni1 Ni 0.000 0.000 0.000
Ni2 Ni 0.250 0.250 0.000
H1 H 0.004 0.236 0.530
H2 H 0.223 0.014 0.970
Rh1 Rh 0.000 0.376 0.250
# Polymorph energy (0 for the lowest one), meV per atom: 0
# Energy, eV for the cell shown: -129.4



Record 3
# PBE Ni5H12Rh3, relaxed
data_Ni5H12Rh3
_chemical_formula_sum 'Ni40 H96 Rh24'
_symmetry_space_group_name_H-M 'I a -3 d'
_symmetry_Int_Tables_number 230
_symmetry_space_group_name_Hall '-I 4bd 2c 3'
_cell_length_a 10.342
_cell_length_b 10.342
_cell_length_c 10.342
_cell_angle_alpha 90.00
_cell_angle_beta 90.00
_cell_angle_gamma 90.00
loop_
_atom_site_label
_atom_site_type_symbol
_atom_site_fract_x
_atom_site_fract_y
_atom_site_fract_z
Ni1 Ni 0.000 0.000 0.000
Ni2 Ni 0.000 0.250 0.375
H1 H 0.018 0.065 0.652
Rh1 Rh 0.000 0.250 0.125
# Energy, eV for the cell shown: -720.1



Record 4
# PBE Ni2H5Rh2, relaxed
data_Ni2H5Rh2
_chemical_formula_sum 'Ni4 H10 Rh4'
_symmetry_space_group_name_H-M 'C 1 2/m 1'
_symmetry_Int_Tables_number 12
_cell_length_a 9.066
_cell_length_b 2.737
_cell_length_c 6.343
_cell_angle_alpha 90.00
_cell_angle_beta 119.09
_cell_angle_gamma 90.00
loop_
_symmetry_equiv_pos_as_xyz
'x,y,z'
'-x,-y,-z'
'-x,y,-z'
'x,-y,z'
'x+1/2,y+1/2,z'
'-x+1/2,-y+1/2,-z'
'-x+1/2,y+1/2,-z'
'x+1/2,-y+1/2,z'
loop_
_atom_site_label
_atom_site_type_symbol
_atom_site_fract_x
_atom_site_fract_y
_atom_site_fract_z
Ni1 Ni 0.147 0.000 0.042
H1 H 0.000 0.000 0.500
H2 H 0.141 0.500 0.875
H3 H 0.218 0.000 0.344
Rh1 Rh 0.082 0.500 0.360
# Energy, eV for the cell shown: -85.2



Record 5
# PBE NiH12Rh6, relaxed
data_NiH12Rh6
_chemical_formula_sum 'Ni3 H36 Rh18'
_symmetry_space_group_name_H-M 'R -3'
_symmetry_Int_Tables_number 148
_symmetry_space_group_name_Hall '-R 3'
_cell_length_a 7.9764
_cell_length_b 7.9764
_cell_length_c 7.4876
_cell_angle_alpha 90.00
_cell_angle_beta 90.00
_cell_angle_gamma 120.00
loop_
_atom_site_label
_atom_site_type_symbol
_atom_site_fract_x
_atom_site_fract_y
_atom_site_fract_z
Ni1 Ni 0.0000 0.0000 0.0000
H1 H 0.0418 0.8219 0.9076
H2 H 0.0468 0.8169 0.4108
Rh1 Rh 0.0512 0.8062 0.6660
# Energy, eV for the cell shown: -270.0



Record 6
# PBE NiHRh2, relaxed
data_NiHRh2
_chemical_formula_sum 'Ni4 H4 Rh8'
_symmetry_space_group_name_H-M 'F m -3 m'
_symmetry_Int_Tables_number 225
_symmetry_space_group_name_Hall '-F 4 2 3'
_cell_length_a 5.657
_cell_length_b 5.657
_cell_length_c 5.657
_cell_angle_alpha 90.00
_cell_angle_beta 90.00
_cell_angle_gamma 90.00
loop_
_atom_site_label
_atom_site_type_symbol
_atom_site_fract_x
_atom_site_fract_y
_atom_site_fract_z
Ni1 Ni 0.000 0.000 0.000
H1 H 0.000 0.000 0.500
Rh1 Rh 0.250 0.250 0.250
# Polymorph energy (0 for the lowest one), meV per atom: 355
# Energy, eV for the cell shown: -88.4



Record 7
# PBE Ni5H6Rh, relaxed
data_Ni5H6Rh
_chemical_formula_sum 'Ni10 H12 Rh2'
_symmetry_space_group_name_H-M 'C 1 2/m 1'
_symmetry_Int_Tables_number 12
_cell_length_a 4.647
_cell_length_b 8.047
_cell_length_c 4.627
_cell_angle_alpha 90.00
_cell_angle_beta 109.23
_cell_angle_gamma 90.00
loop_
_symmetry_equiv_pos_as_xyz
'x,y,z'
'-x,-y,-z'
'-x,y,-z'
'x,-y,z'
'x+1/2,y+1/2,z'
'-x+1/2,-y+1/2,-z'
'-x+1/2,y+1/2,-z'
'x+1/2,-y+1/2,z'
loop_
_atom_site_label
_atom_site_type_symbol
_atom_site_fract_x
_atom_site_fract_y
_atom_site_fract_z
Ni1 Ni 0.000 0.000 0.000
Ni2 Ni 0.000 0.166 0.500
Ni3 Ni 0.000 0.328 0.000
H1 H 0.244 0.000 0.747
H2 H 0.245 0.169 0.239
Rh1 Rh 0.000 0.500 0.500
# Energy, eV for the cell shown: -113.4



Record 8
# PBE NiHRh2, relaxed
data_NiHRh2
_chemical_formula_sum 'Ni2 H2 Rh4'
_symmetry_space_group_name_H-M 'P b a m'
_symmetry_Int_Tables_number 55
_cell_length_a 5.280
_cell_length_b 5.993
_cell_length_c 2.777
_cell_angle_alpha 90.00
_cell_angle_beta 90.00
_cell_angle_gamma 90.00
loop_
_symmetry_equiv_pos_as_xyz
'x,y,z'
'-x,-y,-z'
'-x,-y,z'
'x,y,-z'
'x+1/2,-y+1/2,-z'
'-x+1/2,y+1/2,z'
'-x+1/2,y+1/2,-z'
'x+1/2,-y+1/2,z'
loop_
_atom_site_label
_atom_site_type_symbol
_atom_site_fract_x
_atom_site_fract_y
_atom_site_fract_z
Ni1 Ni 0.000 0.000 0.000
H1 H 0.000 0.500 0.000
Rh1 Rh 0.153 0.324 0.500
# Polymorph energy (0 for the lowest one), meV per atom: 100
# Energy, eV for the cell shown: -46.2